[1]
A plane-wave DFT calculation with GGA-PBE was carried out for CaTi2TcO8 after structural relaxation. Values from VASP.

Results
total DFT energy (no corrections): -96.82 eV per cell
D(E_F): 0.0147 states/eV/atom

Cell and atoms, written as Quantum ESPRESSO input:
```
&SYSTEM
  ibrav = 0, nat = 12, ntyp = 4
/
ATOMIC_SPECIES
Ca 40.08 Ca.upf
Ti 47.87 Ti.upf
Tc 98.00 Tc.upf
O 16.00 O.upf
ATOMIC_POSITIONS crystal
Ca 0.000 0.000 0.000
Ti 0.457 0.457 0.781
Ti 0.543 0.543 0.219
Tc 0.000 0.000 0.500
O 0.211 0.777 0.714
O 0.223 0.789 0.286
O 0.251 0.251 0.550
O 0.328 0.328 0.998
O 0.672 0.672 0.002
O 0.749 0.749 0.450
O 0.777 0.211 0.714
O 0.789 0.223 0.286
CELL_PARAMETERS angstrom
3.661 -3.173 0.000
3.661 3.173 0.000
-0.846 0.000 6.615
```

[2]
A plane-wave DFT calculation with GGA-PBE was carried out for CaTlTc2O8 after structural relaxation. Values from VASP.

Results
total DFT energy (no corrections): -84.85 eV per cell
D(E_F): 0.5858 states/eV/atom

Cell and atoms, written as Quantum ESPRESSO input:
```
&SYSTEM
  ibrav = 0, nat = 12, ntyp = 4
/
ATOMIC_SPECIES
Ca 40.08 Ca.upf
Tl 204.38 Tl.upf
Tc 98.00 Tc.upf
O 16.00 O.upf
ATOMIC_POSITIONS crystal
Ca 0.000 0.000 0.000
Tl 0.000 0.000 0.500
Tc 0.333 0.667 0.263
Tc 0.667 0.333 0.737
O 0.168 0.347 0.190
O 0.179 0.832 0.190
O 0.333 0.667 0.488
O 0.347 0.179 0.810
O 0.653 0.821 0.190
O 0.667 0.333 0.512
O 0.821 0.168 0.810
O 0.832 0.653 0.810
CELL_PARAMETERS angstrom
6.053 0.000 0.000
-3.026 5.242 0.000
0.000 0.000 7.742
```

[3]
A plane-wave DFT calculation with GGA-PBE was carried out for CaTlTcO4 after structural relaxation. Values from VASP.

Results
total DFT energy (no corrections): -91.91 eV per cell

Cell and atoms, written as Quantum ESPRESSO input:
```
&SYSTEM
  ibrav = 0, nat = 14, ntyp = 4
/
ATOMIC_SPECIES
Ca 40.08 Ca.upf
Tl 204.38 Tl.upf
Tc 98.00 Tc.upf
O 16.00 O.upf
ATOMIC_POSITIONS crystal
Ca 0.179 0.250 0.061
Ca 0.821 0.750 0.939
Tl 0.273 0.250 0.595
Tl 0.727 0.750 0.405
Tc 0.303 0.750 0.855
Tc 0.697 0.250 0.145
O 0.089 0.526 0.837
O 0.089 0.974 0.837
O 0.482 0.750 0.695
O 0.487 0.750 0.079
O 0.513 0.250 0.921
O 0.518 0.250 0.305
O 0.911 0.026 0.163
O 0.911 0.474 0.163
CELL_PARAMETERS angstrom
6.267 0.000 0.000
0.000 6.040 0.000
-1.699 0.000 7.341
```

[4]
A plane-wave DFT calculation with GGA-PBE was carried out for Ca2TmTcO6 after structural relaxation. Values from VASP.

Results
total DFT energy (no corrections): -73.38 eV per cell

Cell and atoms, written as Quantum ESPRESSO input:
```
&SYSTEM
  ibrav = 0, nat = 10, ntyp = 4
/
ATOMIC_SPECIES
Ca 40.08 Ca.upf
Tm 168.93 Tm.upf
Tc 98.00 Tc.upf
O 16.00 O.upf
ATOMIC_POSITIONS crystal
Ca 0.000 0.500 0.000
Ca 0.500 0.000 0.000
Tm 0.000 0.000 0.603
Tc 0.500 0.500 0.579
O 0.000 0.000 0.168
O 0.268 0.268 0.732
O 0.268 0.732 0.732
O 0.500 0.500 0.220
O 0.732 0.268 0.732
O 0.732 0.732 0.732
CELL_PARAMETERS angstrom
5.536 0.000 0.000
0.000 5.536 0.000
0.000 0.000 4.831
```

[5]
A plane-wave DFT calculation with GGA-PBE was carried out for CaTmTc2O8 after structural relaxation. Values from VASP.

Results
total DFT energy (no corrections): -91.34 eV per cell
D(E_F): 0.6856 states/eV/atom

Cell and atoms, written as Quantum ESPRESSO input:
```
&SYSTEM
  ibrav = 0, nat = 12, ntyp = 4
/
ATOMIC_SPECIES
Ca 40.08 Ca.upf
Tm 168.93 Tm.upf
Tc 98.00 Tc.upf
O 16.00 O.upf
ATOMIC_POSITIONS crystal
Ca 0.000 0.000 0.000
Tm 0.000 0.000 0.500
Tc 0.333 0.667 0.802
Tc 0.667 0.333 0.198
O 0.161 0.321 0.722
O 0.161 0.839 0.722
O 0.321 0.161 0.278
O 0.333 0.667 0.064
O 0.667 0.333 0.936
O 0.679 0.839 0.722
O 0.839 0.161 0.278
O 0.839 0.679 0.278
CELL_PARAMETERS angstrom
5.881 0.000 0.000
-2.940 5.093 0.000
0.000 0.000 6.709
```

[6]
A plane-wave DFT calculation with GGA-PBE was carried out for CaUTcO6 after structural relaxation. Values from VASP.

Results
total DFT energy (no corrections): -152.06 eV per cell

Cell and atoms, written as Quantum ESPRESSO input:
```
&SYSTEM
  ibrav = 0, nat = 18, ntyp = 4
/
ATOMIC_SPECIES
Ca 40.08 Ca.upf
U 238.03 U.upf
Tc 98.00 Tc.upf
O 16.00 O.upf
ATOMIC_POSITIONS crystal
Ca 0.000 0.000 0.000
Ca 0.500 0.500 0.500
U 0.000 0.000 0.336
U 0.500 0.500 0.836
Tc 0.000 0.000 0.672
Tc 0.500 0.500 0.172
O 0.176 0.176 0.509
O 0.201 0.201 0.817
O 0.211 0.211 0.186
O 0.289 0.711 0.686
O 0.299 0.701 0.317
O 0.324 0.676 0.009
O 0.676 0.324 0.009
O 0.701 0.299 0.317
O 0.711 0.289 0.686
O 0.789 0.789 0.186
O 0.799 0.799 0.817
O 0.824 0.824 0.509
CELL_PARAMETERS angstrom
4.986 0.000 0.000
0.000 4.986 0.000
0.000 0.000 9.934
```

The records above yield M_tot values of 1.04; 1.09; 4.00; 0.00; 3.00; 6.00 μB per cell, respectively.